! CaPCl4 PBE optimized geometry; values from VASP
! symmetry = No. 216
! energy relative to the elements, uncorrected = 0.05 eV per atom
! M_tot = 5.010 μB/cell
&SYSTEM
  ibrav = 0, nat = 6, ntyp = 3
/
ATOMIC_SPECIES
Ca 40.08 Ca.upf
P 30.97 P.upf
Cl 35.45 Cl.upf
CELL_PARAMETERS angstrom
-1.514 -2.264 5.348
-5.619 -1.859 0.990
-1.168 -5.860 0.556
ATOMIC_POSITIONS angstrom
Ca 0.000 0.000 0.000
P -6.226 -7.488 5.170
Cl -3.869 -4.876 5.265
Cl -3.695 -6.680 2.861
Cl -5.929 -4.672 3.078
Cl -3.109 -3.739 2.582